No. 1
The following is a DFT calculation (PBE) of crystalline FeRe2Os at its relaxed geometry.

- Energy above the most stable polymorph in this dataset: 61 meV per atom
- DFT formation energy: 0.081 eV/atom
- Crystal system: tetragonal
- Mass density: 18450 kg/m3
- Calculated total energy: -11.07 eV per atom
- Size of the total moment: 1.1 μB per cell
- SG: I-4m2, No. 119

Lattice parameters (Å, degrees): 4.6574 4.6574 4.6574 131.39 131.39 71.19
Fractional positions:
Fe  0.0000  0.0000  0.0000
Re  0.5000  0.5000  0.0000
Re  0.7500  0.2500  0.5000
Os  0.2500  0.7500  0.5000

=====

No. 2
The following is a DFT calculation (PBE) of crystalline FeReOs2 at its relaxed geometry.

- Energy above the most stable polymorph in this dataset: 361 meV per atom
- DFT formation energy: 0.457 eV/atom
- Crystal system: orthorhombic
- Mass density: 18027 kg/m3
- Calculated total energy: -10.39 eV per atom
- Size of the total moment: 2.8 μB per cell
- SG: Cmm2, No. 35

Lattice parameters (Å, degrees): 2.6666 2.6666 8.9773 90.00 90.00 116.07
Fractional positions:
Fe  0.0000  0.0000  0.0000
Re  0.5000  0.5000  0.2434
Os  0.0000  0.0000  0.4983
Os  0.5000  0.5000  0.7588

=====

No. 3
The following is a DFT calculation (PBE) of crystalline FeReOs2 at its relaxed geometry.

- Energy above the most stable polymorph in this dataset: 217 meV per atom
- DFT formation energy: 0.313 eV/atom
- Crystal system: orthorhombic
- Mass density: 18427 kg/m3
- Calculated total energy: -10.53 eV per atom
- Size of the total moment: 2.8 μB per cell
- SG: Imm2, No. 44

Lattice parameters (Å, degrees): 5.1599 5.1599 5.1599 147.43 130.03 60.92
Fractional positions:
Fe  0.0000  0.0000  0.0000
Re  0.7727  0.2727  0.5000
Os  0.2277  0.7277  0.5000
Os  0.5010  0.5010  0.0000

=====

No. 4
The following is a DFT calculation (PBE) of crystalline FeReOs2 at its relaxed geometry.

- Energy above the most stable polymorph in this dataset: 3 meV per atom
- DFT formation energy: 0.099 eV/atom
- Crystal system: tetragonal
- Mass density: 18835 kg/m3
- Calculated total energy: -10.74 eV per atom
- Size of the total moment: 0.9 μB per cell
- SG: P4/mmm, No. 123

Lattice parameters (Å, degrees): 3.8086 3.8086 3.7837 90.00 90.00 90.00
Fractional positions:
Fe  0.0000  0.0000  0.0000
Re  0.5000  0.5000  0.0000
Os  0.0000  0.5000  0.5000
Os  0.5000  0.0000  0.5000

=====

No. 5
The following is a DFT calculation (PBE) of crystalline FeReOs2 at its relaxed geometry.

- Energy above the most stable polymorph in this dataset: 10 meV per atom
- DFT formation energy: 0.105 eV/atom
- Crystal system: tetragonal
- Mass density: 18909 kg/m3
- Calculated total energy: -10.74 eV per atom
- Size of the total moment: 0.4 μB per cell
- SG: I-4m2, No. 119

Lattice parameters (Å, degrees): 4.6412 4.6412 4.6412 131.65 131.65 70.78
Fractional positions:
Fe  0.0000  0.0000  0.0000
Re  0.7500  0.2500  0.5000
Os  0.2500  0.7500  0.5000
Os  0.5000  0.5000  0.0000

=====

No. 6
The following is a DFT calculation (PBE) of crystalline FeReOs at its relaxed geometry.

- Energy above the most stable polymorph in this dataset: 287 meV per atom
- DFT formation energy: 0.361 eV/atom
- Crystal system: orthorhombic
- Mass density: 16903 kg/m3
- Calculated total energy: -10.35 eV per atom
- Size of the total moment: 3.0 μB per cell
- SG: Fmm2, No. 42

Lattice parameters (Å, degrees): 6.9281 6.7195 2.6592 83.21 74.38 22.40
Fractional positions:
Fe  0.0000  0.0000  0.0000
Re  0.3371  0.3371  0.6629
Os  0.6641  0.6641  0.3359

=====

No. 7
The following is a DFT calculation (PBE) of crystalline FeReOs2 at its relaxed geometry.

- Energy above the most stable polymorph in this dataset: 17 meV per atom
- DFT formation energy: 0.112 eV/atom
- Crystal system: orthorhombic
- Mass density: 18840 kg/m3
- Calculated total energy: -10.73 eV per atom
- Size of the total moment: 0.9 μB per cell
- SG: Pmm2, No. 25

Lattice parameters (Å, degrees): 2.7013 3.7742 5.3816 90.00 90.00 90.00
Fractional positions:
Fe  0.0000  0.0000  0.0000
Re  0.5000  0.5000  0.7586
Os  0.0000  0.0000  0.4926
Os  0.5000  0.5000  0.2304

=====

No. 8
The following is a DFT calculation (PBE) of crystalline FeReOs2 at its relaxed geometry.

- Energy above the most stable polymorph in this dataset: 22 meV per atom
- DFT formation energy: 0.117 eV/atom
- Crystal system: monoclinic
- Mass density: 18621 kg/m3
- Calculated total energy: -10.73 eV per atom
- Size of the total moment: 1.7 μB per cell
- SG: C2/m, No. 12

Lattice parameters (Å, degrees): 4.6382 4.6382 4.6873 99.31 99.31 33.96
Fractional positions:
Fe  0.0000  0.0000  0.0000
Re  0.5000  0.5000  0.5000
Os  0.2499  0.2499  0.7600
Os  0.7501  0.7501  0.2400